# 1
! BaCr2Ni, optimized geometry, DFT PBE; values from VASP
! **Size of the total moment**: 8.53 μB/f.u.
! **Distance to the lowest polymorph of the same formula**: 0.6955 eV/atom
! **ΔH_f (0 K)**: 1149 meV per atom
! **E_tot**: -5.5889 eV/atom
&SYSTEM
  ibrav = 0, nat = 8, ntyp = 3
/
ATOMIC_SPECIES
Ba 137.33 Ba.upf
Cr 52.00 Cr.upf
Ni 58.69 Ni.upf
CELL_PARAMETERS angstrom
5.9064 0.0000 0.0000
0.0000 10.3746 0.0000
-1.6204 0.0000 2.7887
ATOMIC_POSITIONS crystal
Ba 0.0000 0.0000 0.0000
Ba 0.5000 0.5000 0.0000
Cr 0.2500 0.2500 0.5000
Cr 0.2500 0.7500 0.5000
Cr 0.7500 0.2500 0.5000
Cr 0.7500 0.7500 0.5000
Ni 0.0000 0.5000 0.0000
Ni 0.5000 0.0000 0.0000



# 2
! AlP2Pt, optimized geometry, DFT PBE; values from VASP
! **Size of the total moment**: 0.00 μB/f.u.
! **ΔH_f (0 K)**: 34 meV per atom
! **E_tot**: -5.1172 eV/atom
&SYSTEM
  ibrav = 0, nat = 8, ntyp = 3
/
ATOMIC_SPECIES
Al 26.98 Al.upf
P 30.97 P.upf
Pt 195.08 Pt.upf
CELL_PARAMETERS angstrom
5.1052 0.0000 0.0000
0.0000 6.8677 0.0000
0.0000 0.0000 3.4803
ATOMIC_POSITIONS crystal
Al 0.0000 0.0000 0.0000
Al 0.5000 0.5000 0.0000
P 0.2500 0.2500 0.5000
P 0.2500 0.7500 0.5000
P 0.7500 0.2500 0.5000
P 0.7500 0.7500 0.5000
Pt 0.0000 0.5000 0.0000
Pt 0.5000 0.0000 0.0000



# 3
! Ba2LaCd, optimized geometry, DFT PBE; values from VASP
! **Size of the total moment**: 0.00 μB/f.u.
! **Distance to the lowest polymorph of the same formula**: 0.1676 eV/atom
! **ΔH_f (0 K)**: 64 meV per atom
! **E_tot**: -2.3580 eV/atom
&SYSTEM
  ibrav = 0, nat = 12, ntyp = 3
/
ATOMIC_SPECIES
Ba 137.33 Ba.upf
La 138.91 La.upf
Cd 112.41 Cd.upf
CELL_PARAMETERS angstrom
4.0852 0.0000 0.0000
-2.0426 3.5379 0.0000
0.0000 0.0000 36.7178
ATOMIC_POSITIONS crystal
Ba 0.0000 0.0000 0.2411
Ba 0.0000 0.0000 0.7589
Ba 0.3333 0.6667 0.4256
Ba 0.3333 0.6667 0.9077
Ba 0.6667 0.3333 0.0923
Ba 0.6667 0.3333 0.5744
La 0.0000 0.0000 0.0000
La 0.3333 0.6667 0.6667
La 0.6667 0.3333 0.3333
Cd 0.0000 0.0000 0.5000
Cd 0.3333 0.6667 0.1667
Cd 0.6667 0.3333 0.8333



# 4
! Li2AlCd, optimized geometry, DFT PBE; values from VASP
! **Size of the total moment**: 0.00 μB/f.u.
! **ΔH_f (0 K)**: -170 meV per atom
! **E_tot**: -2.2917 eV/atom
&SYSTEM
  ibrav = 0, nat = 4, ntyp = 3
/
ATOMIC_SPECIES
Li 6.94 Li.upf
Al 26.98 Al.upf
Cd 112.41 Cd.upf
CELL_PARAMETERS angstrom
2.8583 0.0000 0.0000
0.0000 4.6977 0.0000
-0.0096 0.0000 5.2421
ATOMIC_POSITIONS crystal
Li 0.0000 0.0000 0.0000
Li 0.0030 0.5000 0.6874
Al 0.5010 0.0000 0.5104
Cd 0.5024 0.5000 0.1861



# 5
! BAsP2Cl, optimized geometry, DFT PBE; values from VASP
! **Size of the total moment**: 0.00 μB/f.u.
! **Distance to the lowest polymorph of the same formula**: 0.0044 eV/atom
! **Raw formation energy**: -0.094 eV/atom
! **E_tot**: -4.8930 eV/atom
&SYSTEM
  ibrav = 0, nat = 5, ntyp = 4
/
ATOMIC_SPECIES
B 10.81 B.upf
As 74.92 As.upf
P 30.97 P.upf
Cl 35.45 Cl.upf
CELL_PARAMETERS angstrom
3.3906 0.0000 0.0000
0.0000 4.6744 0.0000
-1.1044 -1.2424 7.4085
ATOMIC_POSITIONS crystal
B 0.0000 0.0000 0.0000
As 0.9124 0.1307 0.7310
P 0.4127 0.4736 0.7319
P 0.4962 0.7706 0.9883
Cl 0.0638 0.2843 0.1952



# 6
! TbHoIr, optimized geometry, DFT PBE; values from VASP
! **Size of the total moment**: 0.00 μB/f.u.
! **Distance to the lowest polymorph of the same formula**: 0.1487 eV/atom
! **ΔH_f (0 K)**: -557 meV per atom
! **E_tot**: -6.5800 eV/atom
&SYSTEM
  ibrav = 0, nat = 3, ntyp = 3
/
ATOMIC_SPECIES
Tb 158.93 Tb.upf
Ho 164.93 Ho.upf
Ir 192.22 Ir.upf
CELL_PARAMETERS angstrom
4.1008 0.0000 0.0000
-2.0504 3.5514 0.0000
0.0000 0.0000 6.1406
ATOMIC_POSITIONS crystal
Tb 0.0000 0.0000 0.0000
Ho 0.3333 0.6667 0.5396
Ir 0.6667 0.3333 0.7667



# 7
! Sc12TlNi5, optimized geometry, DFT PBE; values from VASP
! **Size of the total moment**: 0.00 μB/f.u.
! **ΔH_f (0 K)**: -365 meV per atom
! **E_tot**: -6.3233 eV/atom
&SYSTEM
  ibrav = 0, nat = 18, ntyp = 3
/
ATOMIC_SPECIES
Sc 44.96 Sc.upf
Tl 204.38 Tl.upf
Ni 58.69 Ni.upf
CELL_PARAMETERS angstrom
-4.3920 4.3939 4.6390
4.3920 -4.3939 4.6390
4.3920 4.3939 -4.6390
ATOMIC_POSITIONS crystal
Sc 0.0278 0.2232 0.8046
Sc 0.1824 0.2817 0.4642
Sc 0.1824 0.7183 0.9007
Sc 0.3223 0.0224 0.7001
Sc 0.3223 0.6222 0.2999
Sc 0.4186 0.2232 0.1954
Sc 0.5814 0.7768 0.8046
Sc 0.6777 0.3778 0.7001
Sc 0.6777 0.9776 0.2999
Sc 0.8176 0.2817 0.0993
Sc 0.8176 0.7183 0.5358
Sc 0.9722 0.7768 0.1954
Tl 0.5000 0.5000 0.0000
Ni 0.0000 0.0000 0.0000
Ni 0.1265 0.6265 0.5000
Ni 0.3555 0.0000 0.3555
Ni 0.6445 0.0000 0.6445
Ni 0.8735 0.3735 0.5000



# 8
! BeCdH3, optimized geometry, DFT PBE; values from VASP
! **Size of the total moment**: 0.00 μB/f.u.
! **Distance to the lowest polymorph of the same formula**: 0.0000 eV/atom
! **E_tot**: -2.4561 eV/atom
&SYSTEM
  ibrav = 0, nat = 5, ntyp = 3
/
ATOMIC_SPECIES
Be 9.01 Be.upf
Cd 112.41 Cd.upf
H 1.01 H.upf
CELL_PARAMETERS angstrom
3.4998 0.0000 0.0000
0.0000 3.4998 0.0000
0.0000 0.0000 3.4998
ATOMIC_POSITIONS crystal
Be 0.0000 0.0000 0.0000
Cd 0.5000 0.5000 0.5000
H 0.0000 0.0000 0.5000
H 0.0000 0.5000 0.0000
H 0.5000 0.0000 0.0000